DFT (PBE-GGA) results for a geometry-optimized TePPb2 structure.

Cell lengths 7.6361, 7.6361, 7.6361 Å; angles 90.00, 90.00, 90.00 degrees
Last column: nearest neighbours and their distance in Å.
Space group Fm-3m (No. 225)
Asymmetric unit:
Te 0.0000 0.0000 0.0000  8 Pb 3.31
P 0.0000 0.0000 0.5000  8 Pb 3.31
Pb 0.2500 0.2500 0.2500  4 Te 3.31, 4 P 3.31

Computed properties:
The value obtained for the energy relative to the lowest polymorph listed for this composition is 270.9 meV per atom. The energy relative to the elements, uncorrected is 0.843 eV/f.u.